# Pm8Sm2Dy | Alexandria | GGA-PBE | optimized geometry
data_Pm8Sm2Dy
_cell_length_a 9.0622
_cell_length_b 9.0622
_cell_length_c 6.7651
_cell_angle_alpha 99.74
_cell_angle_beta 99.74
_cell_angle_gamma 44.15
_space_group_name_H-M_alt 'P 1'
_space_group_IT_number 1
_space_group_name_Hall 'P 1'
loop_
_atom_site_label
_atom_site_fract_x
_atom_site_fract_y
_atom_site_fract_z
Pm1 0.0911 0.0911 0.9119
Pm2 0.1501 0.6753 0.5955
Pm3 0.2560 0.2560 0.6857
Pm4 0.3247 0.8499 0.4045
Pm5 0.6753 0.1501 0.5955
Pm6 0.7440 0.7440 0.3143
Pm7 0.8499 0.3247 0.4045
Pm8 0.9089 0.9089 0.0881
Sm1 0.3025 0.3025 0.1953
Sm2 0.6975 0.6975 0.8047
Dy1 0.5000 0.5000 0.0000
# - Formation energy from the elements: 0.158 eV per atom
# - Total DFT energy (no corrections): -4.57 eV/atom

# Pm3Sm3Dy2 | Alexandria | GGA-PBE | optimized geometry
data_Pm3Sm3Dy2
_cell_length_a 16.4992
_cell_length_b 5.7984
_cell_length_c 6.0489
_cell_angle_alpha 90.00
_cell_angle_beta 111.37
_cell_angle_gamma 90.00
_space_group_name_H-M_alt 'P 1'
_space_group_IT_number 1
_space_group_name_Hall 'P 1'
loop_
_atom_site_label
_atom_site_fract_x
_atom_site_fract_y
_atom_site_fract_z
Pm1 0.0000 0.0000 0.0000
Pm2 0.1340 0.0000 0.6908
Pm3 0.3660 0.5000 0.3092
Pm4 0.5000 0.5000 0.0000
Pm5 0.6340 0.5000 0.6908
Pm6 0.8660 0.0000 0.3092
Sm1 0.0000 0.5000 0.5000
Sm2 0.1335 0.5000 0.0785
Sm3 0.3665 0.0000 0.9215
Sm4 0.5000 0.0000 0.5000
Sm5 0.6335 0.0000 0.0785
Sm6 0.8665 0.5000 0.9215
Dy1 0.2501 0.0000 0.3177
Dy2 0.2499 0.5000 0.6823
Dy3 0.7499 0.0000 0.6823
Dy4 0.7501 0.5000 0.3177
# - Formation energy from the elements: 0.080 eV per atom
# - Total DFT energy (no corrections): -4.62 eV/atom

# Pm2SmDy8 | Alexandria | GGA-PBE | optimized geometry
data_Pm2SmDy8
_cell_length_a 10.1050
_cell_length_b 10.1050
_cell_length_c 5.5792
_cell_angle_alpha 92.66
_cell_angle_beta 92.66
_cell_angle_gamma 40.63
_space_group_name_H-M_alt 'P 1'
_space_group_IT_number 1
_space_group_name_Hall 'P 1'
loop_
_atom_site_label
_atom_site_fract_x
_atom_site_fract_y
_atom_site_fract_z
Pm1 0.2158 0.2158 0.2523
Pm2 0.7842 0.7842 0.7477
Sm1 0.5000 0.5000 0.0000
Dy1 0.0458 0.0458 0.2372
Dy2 0.1030 0.6362 0.2668
Dy3 0.3137 0.3137 0.7668
Dy4 0.3638 0.8970 0.7332
Dy5 0.6362 0.1030 0.2668
Dy6 0.6863 0.6863 0.2332
Dy7 0.8970 0.3638 0.7332
Dy8 0.9542 0.9542 0.7628
# - Formation energy from the elements: 0.161 eV per atom
# - Total DFT energy (no corrections): -4.48 eV/atom

no.,M_tot (μB/atom)
1,0.00
2,0.00
3,0.00